Computed, not measured: a relaxed DyZnGa2Cu4 crystal at the PBE-GGA level of DFT. Values from VASP.

Structure (Quantum ESPRESSO input):
```
&SYSTEM
  ibrav = 0, nat = 8, ntyp = 4
/
ATOMIC_SPECIES
Dy 162.50 Dy.upf
Zn 65.41 Zn.upf
Ga 69.72 Ga.upf
Cu 63.55 Cu.upf
CELL_PARAMETERS angstrom
2.088 1.206 8.279
-2.088 1.206 8.279
0.000 -2.411 8.279
ATOMIC_POSITIONS angstrom
Dy 0.000 0.000 0.000
Zn 0.000 0.000 12.418
Ga 0.000 0.000 6.136
Ga 0.000 0.000 18.701
Cu 0.000 0.000 3.297
Cu 0.000 0.000 9.989
Cu 0.000 0.000 14.847
Cu 0.000 0.000 21.539
```

Output
The calculation puts the volume at 15.63 A^3/atom. As for the total DFT energy (no corrections): -3.76 eV/atom.